1.
Density functional theory data (PBE-GGA) for crystalline Ca5Hg6Pb at its relaxed geometry.

## Properties
Formation enthalpy at 0 K (meV/atom): -495.2
Total moment (μB per formula unit): 0.000
N(E_F) (states/eV/f.u.): 6.19

The structure in POSCAR format:
```
Ca5Hg6Pb
1.0
5.093 -0.004 -1.428
-3.816 7.526 -3.839
-0.165 -1.022 9.212
Pb Ca Hg
1 5 6
direct
0.000 0.000 0.000
0.500 0.159 0.841
0.000 0.329 0.671
0.500 0.500 0.500
0.000 0.671 0.329
0.500 0.841 0.159
0.259 0.088 0.430
0.741 0.570 0.912
0.765 0.265 0.265
0.235 0.735 0.735
0.259 0.430 0.088
0.741 0.912 0.570
```



2.
Density functional theory data (PBE-GGA) for crystalline Ac2PuAsN5 at its relaxed geometry.

## Properties
Total moment (μB per formula unit): 3.141
N(E_F) (states/eV/f.u.): 6.42
Raw total energy (eV/atom): -8.384

The structure in POSCAR format:
```
Ac2PuAsN5
1.0
3.653 0.000 0.000
-1.826 7.337 0.000
0.000 0.000 10.955
Ac Pu As N
4 2 2 10
direct
0.863 0.725 0.825
0.111 0.222 0.682
0.137 0.275 0.325
0.889 0.778 0.182
0.802 0.605 0.529
0.198 0.395 0.029
0.547 0.094 0.936
0.453 0.906 0.436
0.337 0.673 0.010
0.675 0.350 0.887
0.493 0.985 0.787
0.290 0.579 0.654
0.964 0.928 0.513
0.663 0.327 0.510
0.325 0.650 0.387
0.507 0.015 0.287
0.710 0.421 0.154
0.036 0.072 0.013
```



3.
Density functional theory data (PBE-GGA) for crystalline InAg3F at its relaxed geometry.

## Properties
Total moment (μB per formula unit): 0.000
N(E_F) (states/eV/f.u.): 2.81
Relative energy among the computed polymorphs (kJ per mole of atoms): 52.5

The structure in POSCAR format:
```
InAg3F
1.0
5.278 0.000 0.000
0.000 5.278 0.000
0.000 0.000 5.278
F Ag In
1 3 1
direct
0.500 0.500 0.500
0.000 0.500 0.000
0.000 0.000 0.500
0.500 0.000 0.000
0.000 0.000 0.000
```



4.
Density functional theory data (PBE-GGA) for crystalline Ho4Tm7Zr at its relaxed geometry.

## Properties
Formation enthalpy at 0 K (meV/atom): 171.5
Total moment (μB per formula unit): 0.021
N(E_F) (states/eV/f.u.): 22.00
Relative energy among the computed polymorphs (kJ per mole of atoms): 0.0

The structure in POSCAR format:
```
Ho4Tm7Zr
1.0
5.148 -1.448 2.322
0.493 6.136 2.741
1.480 -1.529 11.439
Ho Tm Zr
4 7 1
direct
0.499 0.598 0.271
0.501 0.402 0.729
0.501 0.868 0.730
0.499 0.132 0.270
0.833 0.538 0.924
0.167 0.462 0.076
0.133 0.187 0.627
0.867 0.813 0.373
0.152 0.714 0.573
0.500 0.000 0.000
0.848 0.286 0.427
0.000 0.000 0.000
```



5.
Density functional theory data (PBE-GGA) for crystalline Zr2Ti3Ge2 at its relaxed geometry.

## Properties
Formation enthalpy at 0 K (meV/atom): -529.6
Total moment (μB per formula unit): 0.001
N(E_F) (states/eV/f.u.): 9.60

The structure in POSCAR format:
```
Zr2Ti3Ge2
1.0
3.716 0.000 0.000
-1.858 5.131 -0.067
0.000 -2.445 6.812
Zr Ti Ge
2 3 2
direct
0.863 0.725 0.208
0.137 0.275 0.792
0.500 0.000 0.000
0.624 0.249 0.450
0.376 0.751 0.550
0.840 0.680 0.790
0.160 0.320 0.210
```



6.
Density functional theory data (PBE-GGA) for crystalline RuWCl at its relaxed geometry.

## Properties
Total moment (μB per formula unit): 0.002
N(E_F) (states/eV/f.u.): 3.58
Relative energy among the computed polymorphs (kJ per mole of atoms): 27.4

The structure in POSCAR format:
```
RuWCl
1.0
7.050 -0.001 0.001
6.153 2.798 0.041
0.896 -1.181 2.538
Cl Ru W
1 1 1
direct
0.991 0.991 0.009
0.681 0.681 0.319
0.328 0.328 0.672
```



7.
Density functional theory data (PBE-GGA) for crystalline AsP2Ir at its relaxed geometry.

## Properties
Formation enthalpy at 0 K (meV/atom): 252.9
Total moment (μB per formula unit): 0.000
N(E_F) (states/eV/f.u.): 2.96

The structure in POSCAR format:
```
AsP2Ir
1.0
-2.492 1.482 -1.169
1.008 -0.592 -2.899
-3.554 -5.989 -0.012
As Ir P
1 1 2
direct
0.000 0.000 0.569
0.500 0.500 0.776
0.000 0.000 0.013
0.500 0.500 0.142
```



8.
Density functional theory data (PBE-GGA) for crystalline PuThZn at its relaxed geometry.

## Properties
Formation enthalpy at 0 K (meV/atom): 4.2
Total moment (μB per formula unit): 6.178
N(E_F) (states/eV/f.u.): 7.24
Relative energy among the computed polymorphs (kJ per mole of atoms): 0.0

The structure in POSCAR format:
```
PuThZn
1.0
-0.148 -0.378 3.665
3.151 -1.914 -0.070
1.411 5.918 -1.187
Zn Th Pu
1 1 1
direct
0.661 0.661 0.322
0.320 0.320 0.641
0.018 0.018 0.037
```



- Among the records above, which one has the lowest N(E_F)?
  InAg3F



- Which of these has the lowest N(E_F)?
  InAg3F



- What is the total moment in the second record?
  3.141 μB per formula unit